[1]
Computed, not measured: a geometry-optimized Hf3Fe2Ir structure at the GGA-PBE level of DFT.

The structure in extended XYZ format:
```
6
Lattice="-2.2436 -0.7048 2.1903 0.8990 -3.0845 -0.0716 6.2305 1.6555 6.9148" Properties=species:S:1:pos:R:3 pbc="T T T"
Hf 2.0255 0.5382 2.2480
Hf 4.2050 1.1173 4.6668
Hf 0.0000 0.0000 0.0000
Ir 2.4429 -1.0669 4.5168
Fe 4.5231 -0.5142 6.8254
Fe 0.3628 -1.6196 2.2082
```

## Properties
Size of the total moment, μB/cell: 0.7
Raw total energy, Ry/atom: -0.720
Formation energy, eV per atom: -0.53
Crystal system: tetragonal



[2]
Computed, not measured: a geometry-optimized Hf6FeIr2 structure at the GGA-PBE level of DFT.

The structure in extended XYZ format:
```
18
Lattice="-4.5886 -1.7889 2.3429 -2.9234 -0.8765 -6.3947 3.0922 -8.4985 -0.2488" Properties=species:S:1:pos:R:3 pbc="T T T"
Fe 1.5461 -4.2492 -0.1244
Fe -3.7560 -1.3327 -2.0259
Hf -2.5676 -5.0849 -4.3028
Hf 1.4348 -6.6920 -0.1679
Hf -3.1035 -10.1649 -2.7914
Hf -0.3320 -4.4544 -1.9763
Hf -0.5025 -9.4249 0.3344
Hf -3.5477 -3.6796 -1.3702
Hf -3.9173 -1.7390 -4.6350
Hf -0.8721 -7.4843 -2.9304
Hf -1.3163 -0.9989 -1.5092
Hf -5.8546 -4.4719 -4.1327
Hf -1.8522 -6.0790 0.0022
Hf -4.0878 -6.7095 -2.3243
Ir -2.8238 -8.5532 -0.6942
Ir -1.1860 -3.1428 0.2047
Ir -1.5960 -2.6107 -3.6064
Ir -3.2338 -8.0211 -4.5053
```

## Properties
Size of the total moment, μB/cell: 0.0
Raw total energy, Ry/atom: -0.733
Formation energy, eV per atom: -0.42
Crystal system: monoclinic



[3]
Computed, not measured: a geometry-optimized Hf2FeIr2 structure at the GGA-PBE level of DFT.

The structure in extended XYZ format:
```
10
Lattice="6.4770 0.0000 0.0000 0.0000 6.4770 0.0000 0.0000 0.0000 4.1035" Properties=species:S:1:pos:R:3 pbc="T T T"
Hf 5.3366 2.0981 2.0518
Hf 4.3789 5.3366 2.0518
Hf 1.1404 4.3789 2.0518
Hf 2.0981 1.1404 2.0518
Ir 4.1366 0.8981 0.0000
Ir 5.5789 4.1366 0.0000
Ir 0.8981 2.3404 0.0000
Ir 2.3404 5.5789 0.0000
Fe 3.2385 3.2385 0.0000
Fe 0.0000 0.0000 0.0000
```

## Properties
Size of the total moment, μB/cell: 0.0
Raw total energy, Ry/atom: -0.708
Formation energy, eV per atom: -0.42
Crystal system: tetragonal



[4]
Computed, not measured: a geometry-optimized Hf2Fe3Ir structure at the GGA-PBE level of DFT.

The structure in extended XYZ format:
```
6
Lattice="-2.8797 1.4467 3.7313 -1.9838 -0.9728 -4.4076 2.0254 -4.7046 0.1302" Properties=species:S:1:pos:R:3 pbc="T T T"
Fe -0.4272 -1.6290 1.9308
Fe -1.4191 -2.1154 -0.2730
Fe 1.0127 -2.3523 0.0651
Ir 0.0000 0.0000 0.0000
Hf -0.1828 -4.3279 -1.7179
Hf -2.6554 0.0972 1.1718
```

## Properties
Size of the total moment, μB/cell: 5.6
Raw total energy, Ry/atom: -0.699
Formation energy, eV per atom: -0.49
Crystal system: trigonal



[5]
Computed, not measured: a geometry-optimized Hf6FeIr structure at the GGA-PBE level of DFT.

The structure in extended XYZ format:
```
8
Lattice="-4.3327 -4.0914 0.8680 1.7767 -5.6035 1.3512 0.7821 -1.6187 5.7215" Properties=species:S:1:pos:R:3 pbc="T T T"
Hf -1.9345 -6.5962 4.7241
Hf -2.8007 -4.0413 2.9957
Hf -1.8827 -7.1839 1.6447
Hf 0.1607 -4.7174 3.2166
Hf -0.6732 -2.5110 0.5746
Hf 1.0268 -7.2723 4.9450
Ir 0.0000 0.0000 0.0000
Fe -1.2780 -4.8475 1.1096
```

## Properties
Size of the total moment, μB/cell: 0.0
Raw total energy, Ry/atom: -0.705
Formation energy, eV per atom: 0.04
Crystal system: monoclinic



[6]
Computed, not measured: a geometry-optimized Hf5Fe4Ir structure at the GGA-PBE level of DFT.

The structure in extended XYZ format:
```
10
Lattice="-2.3207 0.3031 2.1377 -1.5935 -2.3580 -1.3956 7.2877 -10.4872 9.3984" Properties=species:S:1:pos:R:3 pbc="T T T"
Hf 3.1195 -8.3329 6.9180
Hf 0.2540 -4.2092 3.2225
Hf -1.1746 -2.1535 1.3801
Hf 1.6868 -6.2711 5.0702
Hf 4.5481 -10.3887 8.7603
Fe 1.4752 -2.1229 1.9025
Fe 5.8124 -8.3643 7.4959
Fe 2.9249 -4.2090 3.7720
Fe 4.3628 -6.2782 5.6264
Ir 0.0000 0.0000 0.0000
```

## Properties
Size of the total moment, μB/cell: 1.2
Raw total energy, Ry/atom: -0.712
Formation energy, eV per atom: -0.44
Crystal system: tetragonal



[7]
Computed, not measured: a geometry-optimized HfFeIr3 structure at the GGA-PBE level of DFT.

The structure in extended XYZ format:
```
5
Lattice="4.7915 0.0000 0.0000 0.0000 4.7915 0.0000 0.0000 0.0000 4.7915" Properties=species:S:1:pos:R:3 pbc="T T T"
Fe 2.3957 2.3957 2.3957
Ir 2.3957 0.0000 0.0000
Ir 0.0000 2.3957 0.0000
Ir 0.0000 0.0000 2.3957
Hf 0.0000 0.0000 0.0000
```

## Properties
Size of the total moment, μB/cell: 4.6
Raw total energy, Ry/atom: -0.538
Formation energy, eV per atom: 1.67
Distance to the lowest polymorph of the same formula, eV per atom: 0.982
Crystal system: cubic



[8]
Computed, not measured: a geometry-optimized HfFe2Ir2 structure at the GGA-PBE level of DFT.

The structure in extended XYZ format:
```
5
Lattice="3.4667 0.0000 0.0000 0.0000 3.4667 0.0000 1.7334 1.7334 6.2846" Properties=species:S:1:pos:R:3 pbc="T T T"
Hf 0.0000 0.0000 0.0000
Ir 1.7334 1.7334 1.3275
Ir 3.4667 3.4667 4.9570
Fe 3.4667 1.7334 3.1423
Fe 1.7334 3.4667 3.1423
```

## Properties
Size of the total moment, μB/cell: 0.0
Raw total energy, Ry/atom: -0.659
Formation energy, eV per atom: -0.05
Distance to the lowest polymorph of the same formula, eV per atom: 0.181
Crystal system: tetragonal



Which value of raw total energy does entry 8 give?
-0.659 Ry/atom